# 1
A relaxed Ta3SnW crystal, computed with PBE-GGA.

Calculated values
Relative energy among the computed polymorphs ... 1052.7 meV per atom
SG ... Pm-3m (221)

a b c (Å): 4.907 4.907 4.907
angles (deg): 90.00 90.00 90.00
Element x y z (fractional)
Ta (0.000, 0.000, 0.500)
Ta (0.000, 0.500, 0.000)
Ta (0.500, 0.000, 0.000)
Sn (0.000, 0.000, 0.000)
W (0.500, 0.500, 0.500)

---

# 2
A relaxed Ta2SnW crystal, computed with PBE-GGA.

Calculated values
SG ... P4/mmm (123)

a b c (Å): 4.230 4.230 4.067
angles (deg): 90.00 90.00 90.00
Element x y z (fractional)
Ta (0.000, 0.500, 0.000)
Ta (0.500, 0.000, 0.000)
Sn (0.000, 0.000, 0.500)
W (0.500, 0.500, 0.500)

---

Number 1: DFT formation energy 229.95 kJ/mol of atoms, E_tot -8.120 eV per atom. Number 2: DFT formation energy 12.51 kJ/mol of atoms, E_tot -10.036 eV per atom.